Entry from the Alexandria database: an optimized crystal structure of ZrCuF2 (PBE).

Its formation energy without anion corrections is -1.70 eV/atom. The calculation puts the excess energy over the best structure of this formula in the dataset at 0 meV/atom.

The structure belongs to space group R-3m (No. 166, hexagonal axes); the cell edges are 2.8920, 2.8920 and 27.9494 Å and the angles 90.00°, 90.00° and 120.00°. The asymmetric unit holds Zr at (0.0000, 0.0000, 0.0000), Cu at (0.0000, 0.0000, 0.5000) and F at (0.0000, 0.0000, 0.3880).